A relaxed structure of CdFeAg2. Source: Alexandria via LeMat-Bulk, functional PBE-GGA.

Structure (CIF):
```
data_CdFeAg2
_space_group_name_H-M_alt 'R 3 m'
_space_group_IT_number 160
_space_group_name_Hall 'R 3 -2"'
_cell_length_a 2.9070
_cell_length_b 2.9070
_cell_length_c 28.3522
_cell_angle_alpha 90.00
_cell_angle_beta 90.00
_cell_angle_gamma 120.00
loop_
_atom_site_label
_atom_site_type_symbol
_atom_site_fract_x
_atom_site_fract_y
_atom_site_fract_z
Cd1 Cd 0.0000 0.0000 0.0000
Fe1 Fe 0.0000 0.0000 0.7482
Ag1 Ag 0.0000 0.0000 0.2446
Ag2 Ag 0.0000 0.0000 0.4922
```

Summary:
ΔE_f in eV per atom: 0.2444
Total magnetization in μB per cell: 8.7